This record from Alexandria describes crystalline PrVCdO5 at its relaxed geometry. The functional is GGA+U.

Properties
V	18.6	Å³/atom
raw total energy	-6.874	eV per atom

The structure in CIF format:
```
data_PrVCdO5
_space_group_name_H-M_alt 'C 1 2/c 1'
_space_group_IT_number 15
_cell_length_a 8.6633
_cell_length_b 9.2113
_cell_length_c 8.4862
_cell_angle_alpha 90.00
_cell_angle_beta 118.37
_cell_angle_gamma 90.00
loop_
_space_group_symop_operation_xyz
'x,y,z'
'-x,-y,-z'
'-x,y,-z+1/2'
'x,-y,z+1/2'
'x+1/2,y+1/2,z'
'-x+1/2,-y+1/2,-z'
'-x+1/2,y+1/2,-z+1/2'
'x+1/2,-y+1/2,z+1/2'
loop_
_atom_site_label
_atom_site_type_symbol
_atom_site_fract_x
_atom_site_fract_y
_atom_site_fract_z
Pr1 Pr 0.0000 0.0000 0.0000
V1 V 0.0000 0.3601 0.2500
Cd1 Cd 0.0000 0.3238 0.7500
O1 O 0.0000 0.1023 0.7500
O2 O 0.0162 0.2529 0.0918
O3 O 0.1810 0.4810 0.3512
```